! GGA-PBE Re4SnRu2, relaxed; values from VASP
! E_form, eV per atom: 2.33
! DOS(E_F), states/eV per cell: 8.1
! Space group: I4/mmm (139)
! VASP energy, eV/atom: -8.003
&SYSTEM
  ibrav = 0, nat = 7, ntyp = 3
/
ATOMIC_SPECIES
Re 186.21 Re.upf
Sn 118.71 Sn.upf
Ru 101.07 Ru.upf
ATOMIC_POSITIONS angstrom
Re 2.388 0.000 0.000
Re 0.000 0.000 2.637
Re 0.000 2.388 0.000
Re 0.000 0.000 9.972
Sn 0.000 0.000 0.000
Ru 0.000 0.000 4.896
Ru 0.000 0.000 7.713
CELL_PARAMETERS angstrom
-2.388 2.388 6.304
2.388 -2.388 6.304
2.388 2.388 -6.304